1.
LaSnSb | GGA-PBE | optimized geometry

The structure in extended XYZ format:
```
6
Lattice="-2.7126 -3.1002 0.4259 0.6232 -1.3423 -5.8016 7.7123 -3.6780 2.2135" Properties=species:S:1:pos:R:3 pbc="T T T"
Sn 2.3805 -4.9512 -0.7438
Sn 6.4203 -5.9352 -2.3114
Sb 5.2401 -4.5946 -0.0702
Sb 0.8325 -3.9642 -3.4192
La -0.1660 -2.7262 -0.7677
La 4.0684 -4.0717 -3.7264
```

Summary:
D(E_F)   1.70 states/eV/f.u.
Energy relative to the lowest polymorph listed for this composition   1.36 eV per formula unit

***

2.
LiTa2Ru | GGA-PBE | optimized geometry

The structure in extended XYZ format:
```
4
Lattice="4.3146 0.0000 0.0000 0.0000 4.3156 0.0000 0.0000 0.0000 3.3482" Properties=species:S:1:pos:R:3 pbc="T T T"
Li 2.1573 0.0000 1.6741
Ru 0.0000 2.1578 1.6741
Ta 0.0000 0.0000 0.0000
Ta 2.1573 2.1578 0.0000
```

Summary:
D(E_F)   3.57 states/eV/f.u.
Formation energy   0.07 eV per atom

***

3.
BaPr2AuO5 | GGA-PBE | optimized geometry

The structure in extended XYZ format:
```
18
Lattice="-3.9654 -2.1397 -4.3169 -4.0709 -2.4767 4.9670 -3.4166 5.9726 0.1779" Properties=species:S:1:pos:R:3 pbc="T T T"
Ba -3.7437 1.7480 2.5725
Ba 0.0000 0.0000 0.0000
Pr -5.3112 -1.7045 1.2135
Pr -3.8040 0.4573 -1.2424
Pr -7.6489 0.8989 2.0705
Pr -6.1417 3.0607 -0.3855
Au -1.7083 2.9863 0.0890
Au -2.0354 -1.2383 2.4835
O -5.7264 0.6781 0.4140
O -1.9827 -1.0699 -2.1584
O -3.8204 2.9393 -0.2826
O -5.7201 -0.5512 3.1924
O -2.9671 -0.5672 0.6716
O -6.5734 2.9553 2.2382
O -5.7327 1.9074 -2.3644
O -8.4857 1.9235 0.1565
O -7.6324 -1.5830 1.1107
O -4.8794 -1.5991 -1.4102
```

Summary:
D(E_F)   0.13 states/eV/f.u.

***

4.
AlTlCd | GGA-PBE | optimized geometry

The structure in extended XYZ format:
```
6
Lattice="-1.3774 -2.4741 -1.4189 -2.5464 -1.2101 4.6405 -7.9313 4.0479 0.3610" Properties=species:S:1:pos:R:3 pbc="T T T"
Tl -10.2276 1.5857 3.6351
Tl -8.1909 -1.3719 3.3900
Al -9.2595 0.6763 0.7603
Al -6.6104 0.7503 1.6265
Cd -5.3385 -1.9628 1.6605
Cd -2.6023 -0.6585 0.3650
```

Summary:
D(E_F)   1.13 states/eV/f.u.
Formation energy   0.16 eV per atom

***

5.
MgTl2As | GGA-PBE | optimized geometry

The structure in extended XYZ format:
```
4
Lattice="7.6149 0.1119 -0.0797 6.6028 3.7951 -0.0797 1.0872 0.2988 3.8435" Properties=species:S:1:pos:R:3 pbc="T T T"
As 11.4787 3.1544 2.7631
Mg 3.8262 1.0515 0.9210
Tl 2.0077 0.5517 3.5641
Tl 6.7320 1.8500 2.1215
```

Summary:
D(E_F)   1.55 states/eV/f.u.
Energy relative to the lowest polymorph listed for this composition   0.03 eV per formula unit
Formation energy   -0.11 eV per atom

***

6.
K3Tl2Hg5 | GGA-PBE | optimized geometry

The structure in extended XYZ format:
```
20
Lattice="-1.5795 -2.2094 -3.6540 4.0070 -10.6207 4.6897 -10.7999 -1.5890 5.6291" Properties=species:S:1:pos:R:3 pbc="T T T"
K -7.5939 -4.7380 6.1473
K 0.8010 -7.4717 4.1715
K -2.7789 -2.3933 2.6483
K -4.0140 -9.8164 7.6706
K 0.0000 0.0000 0.0000
K -3.3965 -6.1049 5.1594
Tl -6.2124 -2.2548 4.0487
Tl -0.5805 -9.9549 6.2701
Tl 0.2325 -4.2301 2.4572
Tl -7.0254 -7.9796 7.8616
Hg -0.6449 -3.3462 -0.5343
Hg -7.7274 -11.0729 7.1991
Hg 0.7909 -11.3932 3.7106
Hg -9.1633 -3.0260 2.9542
Hg -5.6590 -5.1634 2.7318
Hg -2.7133 -9.2557 3.9329
Hg -6.1198 -8.1833 4.7570
Hg -2.2526 -6.2358 1.9078
Hg -6.1897 -1.8992 0.9875
Hg 1.2138 -6.4151 0.5179
```

Summary:
D(E_F)   4.60 states/eV/f.u.
Formation energy   -0.18 eV per atom

***

7.
Cs2Y2BiO6 | GGA-PBE | optimized geometry

The structure in extended XYZ format:
```
11
Lattice="6.0930 -0.0169 0.0646 -3.0262 5.2884 0.0646 -1.0822 -1.8602 7.0152" Properties=species:S:1:pos:R:3 pbc="T T T"
Cs 4.5736 0.8671 0.0646
Cs -1.5068 4.4044 0.0646
Y -0.5179 2.5842 3.5722
Y 2.5025 0.8270 3.5722
Bi -0.5411 -0.9301 3.5076
O 1.5062 2.5890 4.7231
O -1.5847 0.8123 4.6572
O 0.4784 0.8223 2.4213
O 1.4894 -0.9761 4.6572
O 3.5693 2.5990 2.4872
O 0.4952 4.3874 2.4872
```

Summary:
D(E_F)   3.81 states/eV/f.u.

***

8.
Th3TeSe2 | GGA-PBE | optimized geometry

The structure in extended XYZ format:
```
12
Lattice="-3.3229 -0.2213 2.1006 -3.0079 -3.4875 -5.1256 4.8865 -9.5065 6.7286" Properties=species:S:1:pos:R:3 pbc="T T T"
Th -1.2497 -8.6047 2.6521
Th -0.1947 -4.6106 1.0515
Th -3.4628 -6.4723 -0.6242
Th 2.0184 -6.7430 4.3277
Th 3.3553 -10.2912 6.0688
Th -4.7997 -2.9241 -2.3653
Te 1.6342 -9.7830 3.3997
Te -3.0785 -3.4323 0.3038
Se -0.6777 -7.3645 -0.0027
Se -0.7666 -5.8508 3.7063
Se 1.4775 -8.0713 7.0224
Se -2.9219 -5.1440 -3.3189
```

Summary:
D(E_F)   5.86 states/eV/f.u.

***

9.
MgScS2Cl | GGA-PBE | optimized geometry

The structure in extended XYZ format:
```
5
Lattice="4.9890 0.0000 0.0000 0.0000 4.9890 0.0000 0.0000 0.0000 4.7912" Properties=species:S:1:pos:R:3 pbc="T T T"
Sc 0.0000 0.0000 0.0000
S 0.0000 2.4945 0.0000
S 2.4945 0.0000 0.0000
Mg 2.4945 2.4945 2.3956
Cl 0.0000 0.0000 2.3956
```

Summary:
D(E_F)   1.49 states/eV/f.u.
Energy relative to the lowest polymorph listed for this composition   0.00 eV per formula unit

***

Listing spin magnetization for the structures above in their given order: 0.205, 0.000, 1.012, 0.000, 0.000, 0.000, 0.838, 0.000, 0.000 μB per formula unit.
Listing V for the structures above in their given order: 35.39, 15.59, 16.42, 23.92, 27.14, 34.34, 20.65, 28.07, 23.85 Å³/atom.
Listing E for the structures above in their given order: -28.05, -34.62, -121.60, -13.08, -11.41, -22.62, -72.67, -80.80, -23.38 eV for the cell shown.